Record 1
A plane-wave DFT calculation with PBE-GGA was carried out for a geometry-optimized CaCdAsH structure.

abc: 4.3923 4.3923 10.0802
angles: 77.42 77.42 60.00
Closest atoms and distances in Å follow each position.
Fractional coordinates of all 8 atoms:
Ca 0.0000 0.0000 0.0000  6 As 3.08
Ca 0.5000 0.5000 0.5000  6 H 2.56
Cd 0.7557 0.7557 0.7329  1 H 1.91
Cd 0.2443 0.2443 0.2671  1 H 1.91
As 0.6066 0.6066 0.1800  3 Cd 2.67
As 0.3934 0.3934 0.8200  3 Cd 2.67
H 0.1790 0.1790 0.4631  1 Cd 1.91
H 0.8210 0.8210 0.5369  1 Cd 1.91

Output
As for the space group: R-3m (166). The volume is 20.4 Å³ per atom. As for the crystal system: trigonal. As for the calculated density: 4654 kg/m³. The raw total energy is -3.307 eV per atom.

---

Record 2
A plane-wave DFT calculation with PBE-GGA was carried out for a geometry-optimized CaHf2CdAs structure.

abc: 5.2572 5.4512 5.2572
angles: 90.00 90.00 90.00
Closest atoms and distances in Å follow each position.
Fractional coordinates of all 5 atoms:
As 0.0000 0.5000 0.0000  2 Cd 2.73
Hf 0.0000 0.0000 0.5000  2 Cd 2.63
Hf 0.5000 0.0000 0.0000  2 Cd 2.63
Ca 0.5000 0.5000 0.5000  4 As 3.72, 8 Hf 3.79
Cd 0.0000 0.0000 0.0000  4 Hf 2.63, 2 As 2.73

Output
As for the space group: P4/mmm (123). The volume is 30.1 Å³ per atom. As for the crystal system: tetragonal. As for the calculated density: 6441 kg/m³. For the formation energy, the calculation gives 1.00 eV/atom. The raw total energy is -4.495 eV per atom.

---

Record 3
A plane-wave DFT calculation with PBE-GGA was carried out for a geometry-optimized CaCd2HgAs structure.

abc: 5.2246 5.8686 5.2246
angles: 90.00 90.00 90.00
Closest atoms and distances in Å follow each position.
Fractional coordinates of all 5 atoms:
As 0.5000 0.5000 0.5000  4 Ca 3.69, 8 Cd 3.93
Ca 0.0000 0.5000 0.0000  2 Hg 2.93
Hg 0.0000 0.0000 0.0000  4 Cd 2.61
Cd 0.0000 0.0000 0.5000  2 Hg 2.61
Cd 0.5000 0.0000 0.0000  2 Hg 2.61

Output
As for the space group: P4/mmm (123). The volume is 32.0 Å³ per atom. As for the crystal system: tetragonal. As for the calculated density: 5602 kg/m³. For the formation energy, the calculation gives 0.23 eV/atom. The raw total energy is -1.527 eV per atom.

---

Record 4
A plane-wave DFT calculation with PBE-GGA was carried out for a geometry-optimized K2CaCdAs2 structure.

abc: 6.8465 6.9693 9.2012
angles: 112.25 111.84 90.00
Closest atoms and distances in Å follow each position.
Fractional coordinates of all 12 atoms:
K 0.4632 0.1809 0.3618  4 As 3.38-3.71, 2 Cd 3.64
K 0.5368 0.8191 0.6382  4 As 3.38-3.71, 2 Cd 3.64
K 0.1014 0.3191 0.6382  4 As 3.38-3.71, 2 Cd 3.64
K 0.8986 0.6809 0.3618  4 As 3.38-3.71, 2 Cd 3.64
Ca 0.0000 0.7500 0.0000  4 As 2.94
Ca 0.0000 0.2500 0.0000  4 As 2.94
Cd 0.5000 0.7500 0.0000  4 As 2.85
Cd 0.5000 0.2500 0.0000  4 As 2.85
As 0.8394 0.0996 0.1991  2 Cd 2.85, 2 Ca 2.94
As 0.3597 0.5996 0.1991  2 Cd 2.85, 2 Ca 2.94
As 0.6403 0.4004 0.8009  2 Cd 2.85, 2 Ca 2.94
As 0.1606 0.9004 0.8009  2 Cd 2.85, 2 Ca 2.94

Output
As for the space group: Ibam (72). The volume is 31.0 Å³ per atom. As for the crystal system: orthorhombic. As for the calculated density: 3397 kg/m³. For the formation energy, the calculation gives -0.66 eV/atom. The raw total energy is -3.060 eV per atom.

---

Record 5
A plane-wave DFT calculation with PBE-GGA was carried out for a geometry-optimized Ca2LaCdAs structure.

abc: 5.7700 5.3124 5.7700
angles: 90.00 90.00 90.00
Closest atoms and distances in Å follow each position.
Fractional coordinates of all 5 atoms:
As 0.0000 0.5000 0.0000  2 Cd 2.66
Cd 0.0000 0.0000 0.0000  2 As 2.66, 4 Ca 2.89
Ca 0.0000 0.0000 0.5000  2 Cd 2.89
Ca 0.5000 0.0000 0.0000  2 Cd 2.89
La 0.5000 0.5000 0.5000  8 Ca 3.92, 4 As 4.08

Output
As for the space group: P4/mmm (123). The volume is 35.4 Å³ per atom. As for the crystal system: tetragonal. As for the calculated density: 3816 kg/m³. For the formation energy, the calculation gives 0.18 eV/atom. The raw total energy is -2.720 eV per atom.

---

Record 6
A plane-wave DFT calculation with PBE-GGA was carried out for a geometry-optimized Ca2LaCdAs structure.

abc: 5.6292 5.8884 5.6292
angles: 90.00 90.00 90.00
Closest atoms and distances in Å follow each position.
Fractional coordinates of all 5 atoms:
As 0.5000 0.5000 0.5000  4 La 3.98, 8 Ca 4.07
Cd 0.0000 0.0000 0.0000  4 Ca 2.81, 2 La 2.94
Ca 0.0000 0.0000 0.5000  2 Cd 2.81
Ca 0.5000 0.0000 0.0000  2 Cd 2.81
La 0.0000 0.5000 0.0000  2 Cd 2.94

Output
As for the space group: P4/mmm (123). The volume is 37.3 Å³ per atom. As for the crystal system: tetragonal. As for the calculated density: 3617 kg/m³. For the formation energy, the calculation gives 0.08 eV/atom. The raw total energy is -2.818 eV per atom.

---

Record 7
A plane-wave DFT calculation with PBE-GGA was carried out for a geometry-optimized LiCa2CdAs structure.

abc: 5.6494 5.6494 4.8288
angles: 90.00 90.00 90.00
Closest atoms and distances in Å follow each position.
Fractional coordinates of all 5 atoms:
As 0.0000 0.0000 0.0000  2 Li 2.41
Li 0.0000 0.0000 0.5000  2 As 2.41
Ca 0.0000 0.5000 0.0000  2 As 2.82
Ca 0.5000 0.0000 0.0000  2 As 2.82
Cd 0.5000 0.5000 0.5000  8 Ca 3.72, 4 Li 3.99

Output
As for the space group: P4/mmm (123). The volume is 30.8 Å³ per atom. As for the crystal system: tetragonal. As for the calculated density: 2957 kg/m³. For the formation energy, the calculation gives -0.50 eV/atom. The raw total energy is -2.801 eV per atom.

---

Record 8
A plane-wave DFT calculation with PBE-GGA was carried out for a geometry-optimized CaMnCdAs2 structure.

abc: 5.2952 5.4844 5.2952
angles: 90.00 90.00 90.00
Closest atoms and distances in Å follow each position.
Fractional coordinates of all 5 atoms:
As 0.0000 0.0000 0.5000  2 Ca 2.65
As 0.5000 0.0000 0.0000  2 Ca 2.65
Mn 0.5000 0.5000 0.5000  4 Cd 3.74, 8 As 3.81
Ca 0.0000 0.0000 0.0000  4 As 2.65, 2 Cd 2.74
Cd 0.0000 0.5000 0.0000  2 Ca 2.74

Output
As for the space group: P4/mmm (123). The volume is 30.8 Å³ per atom. As for the crystal system: tetragonal. As for the calculated density: 3858 kg/m³. For the formation energy, the calculation gives 1.45 eV/atom. The raw total energy is -2.831 eV per atom.

---

Record 9
A plane-wave DFT calculation with PBE-GGA was carried out for a geometry-optimized CaCdMoAs2 structure.

abc: 5.1811 5.4069 5.1811
angles: 90.00 90.00 90.00
Closest atoms and distances in Å follow each position.
Fractional coordinates of all 5 atoms:
Mo 0.5000 0.5000 0.5000  4 Ca 3.66, 8 As 3.74
Ca 0.0000 0.5000 0.0000  2 Cd 2.70
As 0.0000 0.0000 0.5000  2 Cd 2.59
As 0.5000 0.0000 0.0000  2 Cd 2.59
Cd 0.0000 0.0000 0.0000  4 As 2.59, 2 Ca 2.70

Output
As for the space group: P4/mmm (123). The volume is 29.0 Å³ per atom. As for the crystal system: tetragonal. As for the calculated density: 4557 kg/m³. For the formation energy, the calculation gives 1.18 eV/atom. The raw total energy is -3.433 eV per atom.

---

Record 10
A plane-wave DFT calculation with PBE-GGA was carried out for a geometry-optimized Ca2CdNi4As3 structure.

abc: 4.1536 4.1536 9.9680
angles: 90.00 90.00 90.00
Closest atoms and distances in Å follow each position.
Fractional coordinates of all 10 atoms:
Ca 0.5000 0.0000 0.2377  6 As 3.15-3.34, 8 Ni 3.15-3.16, 2 Cd 3.34
Ca 0.0000 0.5000 0.7623  6 As 3.15-3.34, 8 Ni 3.15-3.16, 2 Cd 3.34
Cd 0.5000 0.5000 0.5000  4 Ni 2.53
Ni 0.5000 0.5000 0.0000  4 As 2.42
Ni 0.0000 0.0000 0.0000  4 As 2.42
Ni 0.5000 0.0000 0.6443  3 As 2.30-2.53, 2 Cd 2.53
Ni 0.0000 0.5000 0.3557  3 As 2.30-2.53, 2 Cd 2.53
As 0.0000 0.0000 0.5000  4 Ni 2.53
As 0.5000 0.0000 0.8751  5 Ni 2.30-2.42
As 0.0000 0.5000 0.1249  5 Ni 2.30-2.42

Output
As for the space group: P-4m2 (115). The volume is 17.2 Å³ per atom. As for the crystal system: tetragonal. As for the calculated density: 6297 kg/m³. For the formation energy, the calculation gives -0.54 eV/atom. The raw total energy is -4.743 eV per atom.

---

Record 11
A plane-wave DFT calculation with PBE-GGA was carried out for a geometry-optimized Ca2CdNi3As4 structure.

abc: 4.2399 4.2399 10.1297
angles: 90.00 90.00 90.00
Closest atoms and distances in Å follow each position.
Fractional coordinates of all 10 atoms:
Ca 0.5000 0.0000 0.2336  8 As 3.18-3.20, 7 Ni 3.24-3.50, 2 Cd 3.43
Ca 0.0000 0.5000 0.7664  8 As 3.18-3.20, 7 Ni 3.24-3.50, 2 Cd 3.43
Cd 0.5000 0.5000 0.5000  4 As 2.65
Ni 0.0000 0.0000 0.5000  4 As 2.65
Ni 0.5000 0.0000 0.8877  5 As 2.34-2.41
Ni 0.0000 0.5000 0.1123  5 As 2.34-2.41
As 0.5000 0.5000 0.0000  4 Ni 2.41
As 0.0000 0.0000 0.0000  4 Ni 2.41
As 0.5000 0.0000 0.6564  1 Ni 2.34
As 0.0000 0.5000 0.3436  1 Ni 2.34

Output
As for the space group: P-4m2 (115). The volume is 18.2 Å³ per atom. As for the crystal system: tetragonal. As for the calculated density: 6094 kg/m³. For the formation energy, the calculation gives -0.58 eV/atom. The raw total energy is -4.664 eV per atom.

---

Record 12
A plane-wave DFT calculation with PBE-GGA was carried out for a geometry-optimized Ca3Cd3AsO8 structure.

abc: 6.7679 6.7679 6.6817
angles: 120.43 90.00 120.00
Closest atoms and distances in Å follow each position.
Fractional coordinates of all 15 atoms:
Ca 0.5000 0.0000 0.5000  6 O 2.35-2.41
Ca 0.5000 0.5000 0.5000  6 O 2.35-2.41
Ca 0.0000 0.5000 0.5000  6 O 2.35-2.41
Cd 0.0000 0.0000 0.0000  6 O 2.40
Cd 0.0000 0.5000 0.0000  6 O 2.40
Cd 0.5000 0.5000 0.0000  6 O 2.40
As 0.0000 0.0000 0.5000  6 O 2.03
O 0.2526 0.5052 0.2577  3 Ca 2.35, 3 Cd 2.40
O 0.7474 0.4948 0.7423  3 Ca 2.35, 3 Cd 2.40
O 0.7870 0.5740 0.2875  1 As 2.03
O 0.2130 0.4260 0.7125  1 As 2.03
O 0.7870 0.0005 0.2875  1 As 2.03
O 0.2130 0.9995 0.7125  1 As 2.03
O 0.2135 0.0005 0.2875  1 As 2.03
O 0.7865 0.9995 0.7125  1 As 2.03

Output
As for the space group: R-3m (166). The volume is 14.3 Å³ per atom. As for the uncorrected formation energy: -1.82 eV per atom. As for the crystal system: trigonal. As for the calculated density: 5100 kg/m³. The raw total energy is -5.359 eV per atom.

---

Record 13
A plane-wave DFT calculation with PBE-GGA was carried out for a geometry-optimized CaCdAs2Pd5 structure.

abc: 4.6617 4.6617 7.6830
angles: 90.00 90.00 90.00
Closest atoms and distances in Å follow each position.
Fractional coordinates of all 9 atoms:
Ca 0.0000 0.0000 0.5000  12 Pd 2.98-3.30
Cd 0.0000 0.0000 0.0000  8 Pd 3.06
As 0.5000 0.5000 0.1644  5 Pd 2.44-2.58, 1 As 2.53
As 0.5000 0.5000 0.8356  5 Pd 2.44-2.58, 1 As 2.53
Pd 0.0000 0.5000 0.2581  2 As 2.44
Pd 0.5000 0.0000 0.2581  2 As 2.44
Pd 0.0000 0.5000 0.7419  2 As 2.44
Pd 0.5000 0.0000 0.7419  2 As 2.44
Pd 0.5000 0.5000 0.5000  2 As 2.58

Output
As for the space group: P4/mmm (123). The volume is 18.6 Å³ per atom. As for the crystal system: tetragonal. As for the calculated density: 8299 kg/m³. For the formation energy, the calculation gives -0.46 eV/atom. The raw total energy is -4.701 eV per atom.